Density functional theory data (GGA-PBE) for a relaxed structure of Tl12Bi3S5.

Lattice parameters (Å, degrees): 15.4709 15.4709 15.4709 109.47 109.47 109.47
Closest atoms and distances in Å follow each position.
Fractional positions:
Tl: 0.0452 0.2185 0.1338  2 S 2.80-3.00
Tl: 0.0452 0.3267 0.9113  2 S 2.80-3.00
Tl: 0.0846 0.7185 0.6733  2 S 2.80-3.00
Tl: 0.0846 0.8662 0.4113  2 S 2.80-3.00
Tl: 0.0887 0.6338 0.4154  2 S 2.80-3.00
Tl: 0.0887 0.9548 0.6733  2 S 2.80-3.00
Tl: 0.1338 0.0452 0.2185  2 S 2.80-3.00
Tl: 0.1338 0.5887 0.9154  2 S 2.80-3.00
Tl: 0.1733 0.2185 0.5846  2 S 2.80-3.00
Tl: 0.1733 0.4548 0.5887  2 S 2.80-3.00
Tl: 0.2185 0.1338 0.0452  2 S 2.80-3.00
Tl: 0.2185 0.5846 0.1733  2 S 2.80-3.00
Tl: 0.2815 0.3267 0.9154  2 S 2.80-3.00
Tl: 0.2815 0.4548 0.3662  2 S 2.80-3.00
Tl: 0.3267 0.9113 0.0452  2 S 2.80-3.00
Tl: 0.3267 0.9154 0.2815  2 S 2.80-3.00
Tl: 0.3662 0.2815 0.4548  2 S 2.80-3.00
Tl: 0.3662 0.5846 0.9113  2 S 2.80-3.00
Tl: 0.4113 0.0846 0.8662  2 S 2.80-3.00
Tl: 0.4113 0.8267 0.5452  2 S 2.80-3.00
Tl: 0.4154 0.0887 0.6338  2 S 2.80-3.00
Tl: 0.4154 0.8267 0.7815  2 S 2.80-3.00
Tl: 0.4548 0.3662 0.2815  2 S 2.80-3.00
Tl: 0.4548 0.5887 0.1733  2 S 2.80-3.00
Tl: 0.5452 0.4113 0.8267  2 S 2.80-3.00
Tl: 0.5452 0.6338 0.7185  2 S 2.80-3.00
Tl: 0.5846 0.1733 0.2185  2 S 2.80-3.00
Tl: 0.5846 0.9113 0.3662  2 S 2.80-3.00
Tl: 0.5887 0.1733 0.4548  2 S 2.80-3.00
Tl: 0.5887 0.9154 0.1338  2 S 2.80-3.00
Tl: 0.6338 0.4154 0.0887  2 S 2.80-3.00
Tl: 0.6338 0.7185 0.5452  2 S 2.80-3.00
Tl: 0.6733 0.0846 0.7185  2 S 2.80-3.00
Tl: 0.6733 0.0887 0.9548  2 S 2.80-3.00
Tl: 0.7185 0.5452 0.6338  2 S 2.80-3.00
Tl: 0.7185 0.6733 0.0846  2 S 2.80-3.00
Tl: 0.7815 0.4154 0.8267  2 S 2.80-3.00
Tl: 0.7815 0.8662 0.9548  2 S 2.80-3.00
Tl: 0.8267 0.5452 0.4113  2 S 2.80-3.00
Tl: 0.8267 0.7815 0.4154  2 S 2.80-3.00
Tl: 0.8662 0.4113 0.0846  2 S 2.80-3.00
Tl: 0.8662 0.9548 0.7815  2 S 2.80-3.00
Tl: 0.9113 0.0452 0.3267  2 S 2.80-3.00
Tl: 0.9113 0.3662 0.5846  2 S 2.80-3.00
Tl: 0.9154 0.1338 0.5887  2 S 2.80-3.00
Tl: 0.9154 0.2815 0.3267  2 S 2.80-3.00
Tl: 0.9548 0.6733 0.0887  2 S 2.80-3.00
Tl: 0.9548 0.7815 0.8662  2 S 2.80-3.00
Bi: 0.1250 0.2500 0.3750  8 Tl 3.32-3.36
Bi: 0.1250 0.3750 0.7500  8 Tl 3.32-3.36
Bi: 0.2500 0.3750 0.1250  8 Tl 3.32-3.36
Bi: 0.2500 0.8750 0.6250  8 Tl 3.32-3.36
Bi: 0.3750 0.1250 0.2500  8 Tl 3.32-3.36
Bi: 0.3750 0.7500 0.1250  8 Tl 3.32-3.36
Bi: 0.6250 0.2500 0.8750  8 Tl 3.32-3.36
Bi: 0.6250 0.8750 0.7500  8 Tl 3.32-3.36
Bi: 0.7500 0.1250 0.3750  8 Tl 3.32-3.36
Bi: 0.7500 0.6250 0.8750  8 Tl 3.32-3.36
Bi: 0.8750 0.6250 0.2500  8 Tl 3.32-3.36
Bi: 0.8750 0.7500 0.6250  8 Tl 3.32-3.36
S: 0.0000 0.0000 0.0000  6 Tl 3.00
S: 0.0000 0.0000 0.5000  6 Tl 3.00
S: 0.0000 0.5000 0.0000  6 Tl 3.00
S: 0.0000 0.5000 0.5000  6 Tl 3.00
S: 0.1250 0.7500 0.8750  4 Tl 2.80
S: 0.1250 0.8750 0.2500  4 Tl 2.80
S: 0.2500 0.1250 0.8750  4 Tl 2.80
S: 0.2500 0.6250 0.3750  4 Tl 2.80
S: 0.3750 0.2500 0.6250  4 Tl 2.80
S: 0.3750 0.6250 0.7500  4 Tl 2.80
S: 0.5000 0.0000 0.0000  6 Tl 3.00
S: 0.5000 0.0000 0.5000  6 Tl 3.00
S: 0.5000 0.5000 0.0000  6 Tl 3.00
S: 0.5000 0.5000 0.5000  6 Tl 3.00
S: 0.6250 0.3750 0.2500  4 Tl 2.80
S: 0.6250 0.7500 0.3750  4 Tl 2.80
S: 0.7500 0.3750 0.6250  4 Tl 2.80
S: 0.7500 0.8750 0.1250  4 Tl 2.80
S: 0.8750 0.1250 0.7500  4 Tl 2.80
S: 0.8750 0.2500 0.1250  4 Tl 2.80

Summary:
E_form (uncorrected) = -1.89 eV per formula unit
DOS at the Fermi energy = 8.81 states/eV/f.u.
Crystal system = cubic
V = 35.632 A^3/atom
Total magnetic moment = 0.00 μB/f.u.

***

Density functional theory data (GGA-PBE) for a relaxed structure of Er3Cu2Ni7.

Lattice parameters (Å, degrees): 8.5618 8.5618 8.5618 33.84 33.84 33.84
Closest atoms and distances in Å follow each position.
Fractional positions:
Er: 0.0000 0.0000 0.0000  6 Cu 2.88, 12 Ni 3.21
Er: 0.1392 0.1392 0.1392  12 Ni 2.83-3.04, 3 Er 3.17
Er: 0.8608 0.8608 0.8608  12 Ni 2.83-3.04, 3 Er 3.17
Cu: 0.3336 0.3336 0.3336  6 Ni 2.48
Cu: 0.6664 0.6664 0.6664  6 Ni 2.48
Ni: 0.0813 0.5845 0.5845  5 Ni 2.48-2.51, 2 Cu 2.48
Ni: 0.4155 0.4155 0.9187  5 Ni 2.48-2.51, 2 Cu 2.48
Ni: 0.4155 0.9187 0.4155  5 Ni 2.48-2.51, 2 Cu 2.48
Ni: 0.5000 0.5000 0.5000  6 Ni 2.48
Ni: 0.5845 0.0813 0.5845  5 Ni 2.48-2.51, 2 Cu 2.48
Ni: 0.5845 0.5845 0.0813  5 Ni 2.48-2.51, 2 Cu 2.48
Ni: 0.9187 0.4155 0.4155  5 Ni 2.48-2.51, 2 Cu 2.48

Summary:
DOS at the Fermi energy = 9.74 states/eV/f.u.
Uncorrected energy = -0.41289 Ry/atom
Crystal system = trigonal
V = 14.451 A^3/atom
Total magnetic moment = 0.00 μB/f.u.

***

Q: What is the DOS at the Fermi energy in the second record?
A: 9.74 states/eV/f.u.